PBE-GGA HoU2MoC4, optimized geometry; ΔE_f = -4 meV per atom; space group = No. 63
1.0
1.8002 -5.8078 0.0000
1.8002 5.8078 0.0000
0.0000 0.0000 11.3290
Ho U Mo C
2 4 2 8
direct
0.1335 0.8665 0.7500
0.8665 0.1335 0.2500
0.3735 0.6265 0.5430
0.3735 0.6265 0.9570
0.6265 0.3735 0.0430
0.6265 0.3735 0.4570
0.1293 0.8707 0.2500
0.8707 0.1293 0.7500
0.0000 0.0000 0.0000
0.0000 0.0000 0.5000
0.2553 0.7447 0.1186
0.2553 0.7447 0.3814
0.4618 0.5382 0.7500
0.5382 0.4618 0.2500
0.7447 0.2553 0.6186
0.7447 0.2553 0.8814

---

PBE-GGA Mo2IrBr, optimized geometry; energy above the most stable polymorph in this dataset = 2.41 eV/f.u.; space group = No. 122
1.0
-2.8673 2.8673 5.6157
2.8673 -2.8673 5.6157
2.8673 2.8673 -5.6157
Mo Ir Br
4 2 2
direct
0.1071 0.6250 0.9821
0.3750 0.3571 0.4821
0.6429 0.1250 0.0179
0.8750 0.8929 0.5179
0.0000 0.0000 0.0000
0.7500 0.2500 0.5000
0.2500 0.7500 0.5000
0.5000 0.5000 0.0000

---

PBE-GGA TaFe2B2, optimized geometry; ΔE_f = -145 meV per atom; space group = No. 127
1.0
6.0817 0.0000 0.0000
0.0000 6.0817 0.0000
0.0000 0.0000 2.6688
Ta Fe B
2 4 4
direct
0.0000 0.0000 0.0000
0.5000 0.5000 0.0000
0.1515 0.3485 0.5000
0.3485 0.8485 0.5000
0.6515 0.1515 0.5000
0.8485 0.6515 0.5000
0.1235 0.6235 0.0000
0.3765 0.1235 0.0000
0.6235 0.8765 0.0000
0.8765 0.3765 0.0000

---

PBE-GGA SeSNCl2, optimized geometry; energy above the most stable polymorph in this dataset = 0.00 eV/f.u.; space group = No. 123
1.0
5.1015 0.0000 0.0000
0.0000 5.1015 0.0000
0.0000 0.0000 4.7211
Se S N Cl
1 1 1 2
direct
0.0000 0.0000 0.0000
0.0000 0.0000 0.5000
0.5000 0.5000 0.5000
0.0000 0.5000 0.0000
0.5000 0.0000 0.0000

---

PBE-GGA CaCdTe4Pb2, optimized geometry; space group = No. 10
1.0
7.8831 0.0000 0.0000
0.0000 4.5309 0.0000
-2.6641 0.0000 7.4199
Ca Cd Te Pb
1 1 4 2
direct
0.0000 0.0000 0.0000
0.5000 0.5000 0.0000
0.2496 0.5000 0.2386
0.2636 0.0000 0.7682
0.7364 0.0000 0.2318
0.7504 0.5000 0.7614
0.0000 0.5000 0.5000
0.5000 0.0000 0.5000

---

PBE-GGA Sr4CaCd4, optimized geometry; ΔE_f = -164 meV per atom; space group = No. 86
1.0
10.2655 0.0000 0.0000
0.0000 10.2655 0.0000
0.0000 0.0000 6.7934
Sr Ca Cd
8 2 8
direct
0.0591 0.6666 0.1343
0.1666 0.9409 0.6343
0.3334 0.5591 0.6343
0.4409 0.8334 0.1343
0.5591 0.1666 0.8657
0.6666 0.4409 0.3657
0.8334 0.0591 0.3657
0.9409 0.3334 0.8657
0.2500 0.2500 0.2500
0.7500 0.7500 0.7500
0.0125 0.6210 0.6260
0.1210 0.9875 0.1260
0.3790 0.5125 0.1260
0.4875 0.8790 0.6260
0.5125 0.1210 0.3740
0.6210 0.4875 0.8740
0.8790 0.0125 0.8740
0.9875 0.3790 0.3740

---

PBE-GGA SiPSe2, optimized geometry; energy above the most stable polymorph in this dataset = 2.73 eV/f.u.; space group = No. 225
1.0
0.0000 3.3002 3.3002
3.3002 0.0000 3.3002
3.3002 3.3002 0.0000
Si P Se
1 1 2
direct
0.0000 0.0000 0.0000
0.5000 0.5000 0.5000
0.2500 0.2500 0.2500
0.7500 0.7500 0.7500

---

PBE-GGA Sr3TmSn6, optimized geometry; ΔE_f = -533 meV per atom; space group = No. 167
1.0
6.4963 3.7506 4.3028
-6.4963 3.7506 4.3028
0.0000 -7.5012 4.3028
Sr Tm Sn
6 2 12
direct
0.1830 0.7500 0.3170
0.2500 0.6830 0.8170
0.3170 0.1830 0.7500
0.6830 0.8170 0.2500
0.7500 0.3170 0.1830
0.8170 0.2500 0.6830
0.0000 0.0000 0.0000
0.5000 0.5000 0.5000
0.0103 0.0888 0.3647
0.0888 0.3647 0.0103
0.1353 0.4112 0.4897
0.3647 0.0103 0.0888
0.4112 0.4897 0.1353
0.4897 0.1353 0.4112
0.5103 0.8647 0.5888
0.5888 0.5103 0.8647
0.6353 0.9897 0.9112
0.8647 0.5888 0.5103
0.9112 0.6353 0.9897
0.9897 0.9112 0.6353

---

PBE-GGA HfBRh3, optimized geometry; energy above the most stable polymorph in this dataset = 1.16 eV/f.u.; ΔE_f = -553 meV per atom; space group = No. 11
1.0
4.1693 0.0000 0.0000
0.0000 6.0796 0.0000
-0.0002 0.0000 5.6153
Hf B Rh
2 2 6
direct
0.0003 0.2500 0.9998
0.9997 0.7500 0.0002
0.4999 0.2500 0.4998
0.5001 0.7500 0.5002
0.0000 0.2500 0.4989
0.0000 0.7500 0.5011
0.4988 0.9996 0.2434
0.4988 0.5004 0.2434
0.5012 0.0004 0.7566
0.5012 0.4996 0.7566

---

PBE-GGA ZrTlH, optimized geometry; energy above the most stable polymorph in this dataset = 0.58 eV/f.u.; space group = No. 62
1.0
8.0023 0.0000 0.0000
0.0000 3.9769 0.0000
0.0000 0.0000 6.3936
Zr Tl H
4 4 4
direct
0.1373 0.2500 0.0958
0.3627 0.7500 0.5958
0.6373 0.2500 0.4042
0.8627 0.7500 0.9042
0.0774 0.2500 0.6329
0.4226 0.7500 0.1329
0.5774 0.2500 0.8671
0.9226 0.7500 0.3671
0.1020 0.7500 0.9865
0.3980 0.2500 0.4865
0.6020 0.7500 0.5135
0.8980 0.2500 0.0135

---

PBE-GGA RbLiDyI5, optimized geometry; space group = No. 15
1.0
5.0803 -6.8954 0.0000
5.0803 6.8954 0.0000
-4.5088 0.0000 10.5504
Rb Li Dy I
2 2 2 10
direct
0.1499 0.8501 0.7500
0.8501 0.1499 0.2500
0.1920 0.8080 0.2500
0.8080 0.1920 0.7500
0.5000 0.5000 0.0000
0.5000 0.5000 0.5000
0.1271 0.2615 0.9319
0.1908 0.5892 0.3937
0.2615 0.1271 0.4319
0.4108 0.8092 0.1063
0.4224 0.5776 0.7500
0.5776 0.4224 0.2500
0.5892 0.1908 0.8937
0.7385 0.8729 0.5681
0.8092 0.4108 0.6063
0.8729 0.7385 0.0681

---

PBE-GGA MoAsPb2, optimized geometry; ΔE_f = 710 meV per atom; space group = No. 47
1.0
4.2289 0.0000 0.0000
0.0000 4.3850 0.0000
0.0000 0.0000 5.1415
Mo As Pb
1 1 2
direct
0.0000 0.0000 0.0000
0.0000 0.5000 0.5000
0.5000 0.0000 0.5000
0.5000 0.5000 0.0000

---

PBE-GGA ZrTcSb2, optimized geometry; energy above the most stable polymorph in this dataset = 0.85 eV/f.u.; space group = No. 10
1.0
3.3410 0.0000 0.0000
0.0000 4.2870 0.0000
-0.7765 0.0000 5.8608
Zr Tc Sb
1 1 2
direct
0.0000 0.0000 0.0000
0.5000 0.0000 0.5000
0.3404 0.5000 0.7395
0.6596 0.5000 0.2605

---

PBE-GGA Na2BeRh2O6, optimized geometry; space group = No. 12
1.0
2.6395 -4.1808 0.0000
2.6395 4.1808 0.0000
-1.5370 0.0000 5.4975
Na Be Rh O
2 1 2 6
direct
0.1802 0.8198 0.0000
0.8198 0.1802 0.0000
0.0000 0.0000 0.5000
0.3476 0.6524 0.5000
0.6524 0.3476 0.5000
0.0471 0.3681 0.6788
0.2355 0.2355 0.2952
0.3681 0.0471 0.6788
0.6319 0.9529 0.3212
0.7645 0.7645 0.7048
0.9529 0.6319 0.3212

---

PBE-GGA Pu3SnPt2, optimized geometry; ΔE_f = -595 meV per atom; space group = No. 123
1.0
3.8431 0.0000 0.0000
0.0000 3.8431 0.0000
0.0000 0.0000 9.1607
Pu Sn Pt
3 1 2
direct
0.0000 0.0000 0.0000
0.0000 0.0000 0.3181
0.0000 0.0000 0.6819
0.5000 0.5000 0.5000
0.5000 0.5000 0.1601
0.5000 0.5000 0.8399

---

PBE-GGA YAg, optimized geometry; ΔE_f = -212 meV per atom; space group = No. 8
1.0
5.5344 -1.8997 0.0000
5.5344 1.8997 0.0000
-3.8432 0.0000 7.2251
Y Ag
3 3
direct
0.0000 0.0000 0.0000
0.6169 0.6169 0.7164
0.8355 0.8355 0.3450
0.2878 0.2878 0.0199
0.3123 0.3123 0.6444
0.5599 0.5599 0.3289

---

PBE-GGA Pr3TlC, optimized geometry; energy above the most stable polymorph in this dataset = 0.00 eV/f.u.; ΔE_f = -249 meV per atom; space group = No. 221
1.0
5.1780 0.0000 0.0000
0.0000 5.1780 0.0000
0.0000 0.0000 5.1780
Pr Tl C
3 1 1
direct
0.0000 0.0000 0.5000
0.0000 0.5000 0.0000
0.5000 0.0000 0.0000
0.5000 0.5000 0.5000
0.0000 0.0000 0.0000

---

PBE-GGA Pm8Nd5Pu, optimized geometry; ΔE_f = 257 meV per atom; space group = No. 82
1.0
-4.8760 4.8760 5.1141
4.8760 -4.8760 5.1141
4.8760 4.8760 -5.1141
Pm Nd Pu
8 5 1
direct
0.1681 0.4403 0.1157
0.3246 0.0525 0.8843
0.4246 0.1634 0.3966
0.5597 0.6754 0.7279
0.7669 0.0280 0.6034
0.8366 0.2331 0.2612
0.9475 0.8319 0.2721
0.9720 0.5754 0.7388
0.0000 0.0000 0.0000
0.2137 0.3169 0.6866
0.4729 0.7863 0.1032
0.6302 0.5271 0.3134
0.6831 0.3698 0.8968
0.2500 0.7500 0.5000

---

PBE-GGA LiTmSeS, optimized geometry; space group = No. 160
1.0
1.9693 1.1370 6.3262
-1.9693 1.1370 6.3262
0.0000 -2.2739 6.3262
Li Tm Se S
1 1 1 1
direct
0.0000 0.0000 0.0000
0.5055 0.5055 0.5055
0.7505 0.7505 0.7505
0.2497 0.2497 0.2497

---

PBE-GGA CoGe2Ir, optimized geometry; ΔE_f = -87 meV per atom; space group = No. 160
1.0
1.8890 1.0906 4.8306
-1.8890 1.0906 4.8306
0.0000 -2.1812 4.8306
Co Ge Ir
1 2 1
direct
0.0000 0.0000 0.0000
0.3902 0.3902 0.3902
0.5761 0.5761 0.5761
0.8129 0.8129 0.8129

---

PBE-GGA Sc2CdSb, optimized geometry; energy above the most stable polymorph in this dataset = 0.39 eV/f.u.; space group = No. 225
1.0
0.0000 3.5622 3.5622
3.5622 0.0000 3.5622
3.5622 3.5622 0.0000
Sc Cd Sb
2 1 1
direct
0.2500 0.2500 0.2500
0.7500 0.7500 0.7500
0.0000 0.0000 0.0000
0.5000 0.5000 0.5000

---

PBE-GGA Mg2TcCl2, optimized geometry; energy above the most stable polymorph in this dataset = 0.66 eV/f.u.; space group = No. 127
1.0
8.1095 0.0000 0.0000
0.0000 8.1095 0.0000
0.0000 0.0000 3.2947
Mg Tc Cl
4 2 4
direct
0.2002 0.2998 0.0000
0.2998 0.7998 0.0000
0.7002 0.2002 0.0000
0.7998 0.7002 0.0000
0.0000 0.0000 0.0000
0.5000 0.5000 0.0000
0.1327 0.6327 0.5000
0.3673 0.1327 0.5000
0.6327 0.8673 0.5000
0.8673 0.3673 0.5000

---

PBE-GGA Zn2FeCl, optimized geometry; energy above the most stable polymorph in this dataset = 0.88 eV/f.u.; space group = No. 71
1.0
-1.4116 2.0268 5.8671
1.4116 -2.0268 5.8671
1.4116 2.0268 -5.8671
Zn Fe Cl
2 1 1
direct
0.2039 0.2039 0.0000
0.7961 0.7961 0.0000
0.0000 0.5000 0.5000
0.5000 0.0000 0.5000

---

PBE-GGA HfNb2Ga2, optimized geometry; energy above the most stable polymorph in this dataset = 3.09 eV/f.u.; ΔE_f = 199 meV per atom; space group = No. 139
1.0
-1.8606 1.8606 6.9800
1.8606 -1.8606 6.9800
1.8606 1.8606 -6.9800
Hf Nb Ga
1 2 2
direct
0.0000 0.0000 0.0000
0.4029 0.4029 0.0000
0.5971 0.5971 0.0000
0.2500 0.7500 0.5000
0.7500 0.2500 0.5000

---

Number 1: total energy -149.82 eV per cell. Number 2: total energy -56.49 eV per cell. Number 3: total energy -85.72 eV per cell. Number 4: total energy -13.44 eV per cell. Number 5: total energy -28.18 eV per cell. Number 6: total energy -27.73 eV per cell. Number 7: total energy -15.42 eV per cell. Number 8: total energy -77.74 eV per cell. Number 9: total energy -82.90 eV per cell. Number 10: total energy -58.44 eV per cell. Number 11: total energy -52.26 eV per cell. Number 12: total energy -20.06 eV per cell. Number 13: total energy -27.26 eV per cell. Number 14: total energy -64.76 eV per cell. Number 15: total energy -62.65 eV per cell. Number 16: total energy -29.22 eV per cell. Number 17: total energy -27.17 eV per cell. Number 18: total energy -72.58 eV per cell. Number 19: total energy -21.09 eV per cell. Number 20: total energy -25.55 eV per cell. Number 21: total energy -19.38 eV per cell. Number 22: total energy -32.71 eV per cell. Number 23: total energy -12.03 eV per cell. Number 24: total energy -35.15 eV per cell.